Record 1
The following is a PBE-GGA calculation of a geometry-optimized Pr4TmSc2 structure, from the Alexandria database.

Output
energy above the lowest structure with this stoichiometry = 0 meV/atom
formation energy = 3.71 kcal/mol of atoms
SG = P2_1/m (11)

a b c (Å): 5.594 6.909 11.996
angles (deg): 90.00 103.49 90.00
Sites, in units of the cell vectors:
Pr  0.064  0.250  0.127
Pr  0.220  0.750  0.439
Pr  0.356  0.505  0.714
Pr  0.356  0.995  0.714
Pr  0.644  0.005  0.286
Pr  0.644  0.495  0.286
Pr  0.780  0.250  0.561
Pr  0.936  0.750  0.873
Tm  0.081  0.750  0.160
Tm  0.919  0.250  0.840
Sc  0.205  0.250  0.411
Sc  0.495  0.250  0.991
Sc  0.505  0.750  0.009
Sc  0.795  0.750  0.589



Record 2
The following is a PBE-GGA calculation of a geometry-optimized Pm6PbSe2S3 structure, from the Alexandria database.

Output
raw formation energy = -1.699 eV per atom
SG = C2/m (12)

a b c (Å): 9.378 9.378 8.452
angles (deg): 103.69 103.69 25.46
Sites, in units of the cell vectors:
Pm  0.003  0.003  0.230
Pm  0.326  0.326  0.429
Pm  0.338  0.338  0.906
Pm  0.662  0.662  0.094
Pm  0.674  0.674  0.571
Pm  0.997  0.997  0.770
Pb  0.500  0.500  0.500
Se  0.169  0.169  0.836
Se  0.831  0.831  0.164
S  0.165  0.165  0.328
S  0.500  0.500  0.000
S  0.835  0.835  0.672



Record 3
The following is a PBE-GGA calculation of a geometry-optimized Ti2Ga2Sb structure, from the Alexandria database.

Output
energy above the lowest structure with this stoichiometry = 0 meV/atom
raw formation energy = -0.263 eV per atom
SG = P4/mbm (127)

a b c (Å): 6.957 6.957 3.910
angles (deg): 90.00 90.00 90.00
Sites, in units of the cell vectors:
Ti  0.154  0.346  0.000
Ti  0.346  0.846  0.000
Ti  0.654  0.154  0.000
Ti  0.846  0.654  0.000
Ga  0.145  0.645  0.500
Ga  0.355  0.145  0.500
Ga  0.645  0.855  0.500
Ga  0.855  0.355  0.500
Sb  0.000  0.000  0.000
Sb  0.500  0.500  0.000



Record 4
The following is a PBE-GGA calculation of a geometry-optimized La4SbP2 structure, from the Alexandria database.

Output
raw formation energy = -1.294 eV per atom
SG = Cmcm (63)

a b c (Å): 7.330 7.330 14.341
angles (deg): 90.00 90.00 145.53
Sites, in units of the cell vectors:
La  0.000  0.000  0.000
La  0.000  0.000  0.500
La  0.268  0.732  0.616
La  0.268  0.732  0.884
La  0.439  0.561  0.250
La  0.561  0.439  0.750
La  0.732  0.268  0.116
La  0.732  0.268  0.384
Sb  0.107  0.893  0.250
Sb  0.893  0.107  0.750
P  0.364  0.636  0.061
P  0.364  0.636  0.439
P  0.636  0.364  0.561
P  0.636  0.364  0.939



Record 5
The following is a PBE-GGA calculation of a geometry-optimized Sm3IrBr2 structure, from the Alexandria database.

Output
raw formation energy = -1.101 eV per atom
SG = Immm (71)

a b c (Å): 8.124 8.124 8.124
angles (deg): 150.80 137.77 52.17
Sites, in units of the cell vectors:
Sm  0.000  0.000  0.000
Sm  0.375  0.375  0.000
Sm  0.625  0.625  0.000
Ir  0.500  0.000  0.500
Br  0.189  0.689  0.500
Br  0.811  0.311  0.500



Record 6
The following is a PBE-GGA calculation of a geometry-optimized Ga3WBr structure, from the Alexandria database.

Output
energy above the lowest structure with this stoichiometry = 0 meV/atom
raw formation energy = 0.536 eV per atom
SG = Pm-3m (221)

a b c (Å): 5.095 5.095 5.095
angles (deg): 90.00 90.00 90.00
Sites, in units of the cell vectors:
Ga  0.000  0.000  0.500
Ga  0.000  0.500  0.000
Ga  0.500  0.000  0.000
W  0.000  0.000  0.000
Br  0.500  0.500  0.500



Record 7
The following is a PBE-GGA calculation of a geometry-optimized In2Sn2Ir structure, from the Alexandria database.

Output
formation energy = 3.02 kcal/mol of atoms
SG = P4/mbm (127)

a b c (Å): 6.943 6.943 5.211
angles (deg): 90.00 90.00 90.00
Sites, in units of the cell vectors:
In  0.173  0.327  0.000
In  0.327  0.827  0.000
In  0.673  0.173  0.000
In  0.827  0.673  0.000
Sn  0.153  0.653  0.500
Sn  0.347  0.153  0.500
Sn  0.653  0.847  0.500
Sn  0.847  0.347  0.500
Ir  0.000  0.000  0.500
Ir  0.500  0.500  0.500



Record 8
The following is a PBE-GGA calculation of a geometry-optimized RbSi2F structure, from the Alexandria database.

Output
energy above the lowest structure with this stoichiometry = 938 meV/atom
raw formation energy = 0.702 eV per atom
SG = Fm-3m (225)

a b c (Å): 5.073 5.073 5.073
angles (deg): 60.00 60.00 60.00
Sites, in units of the cell vectors:
Rb  0.000  0.000  0.000
Si  0.250  0.250  0.250
Si  0.750  0.750  0.750
F  0.500  0.500  0.500



Record 9
The following is a PBE-GGA calculation of a geometry-optimized MgAgRh2 structure, from the Alexandria database.

Output
formation energy = -0.88 kcal/mol of atoms
SG = Cmmm (65)

a b c (Å): 4.761 4.761 2.885
angles (deg): 90.00 90.00 107.50
Sites, in units of the cell vectors:
Mg  0.000  0.000  0.000
Ag  0.500  0.500  0.000
Rh  0.000  0.500  0.500
Rh  0.500  0.000  0.500



Record 10
The following is a PBE-GGA calculation of a geometry-optimized AgP3Pt12Pb2 structure, from the Alexandria database.

Output
formation energy = -2.46 kcal/mol of atoms
SG = R-3m (166)

a b c (Å): 7.524 7.524 7.524
angles (deg): 66.47 66.47 66.47
Sites, in units of the cell vectors:
Ag  0.000  0.000  0.000
P  0.000  0.000  0.500
P  0.000  0.500  0.000
P  0.500  0.000  0.000
Pt  0.108  0.646  0.646
Pt  0.140  0.140  0.609
Pt  0.140  0.609  0.140
Pt  0.354  0.354  0.892
Pt  0.354  0.892  0.354
Pt  0.391  0.860  0.860
Pt  0.609  0.140  0.140
Pt  0.646  0.108  0.646
Pt  0.646  0.646  0.108
Pt  0.860  0.391  0.860
Pt  0.860  0.860  0.391
Pt  0.892  0.354  0.354
Pb  0.393  0.393  0.393
Pb  0.607  0.607  0.607



Record 11
The following is a PBE-GGA calculation of a geometry-optimized Tb3NiAg2 structure, from the Alexandria database.

Output
energy above the lowest structure with this stoichiometry = 0 meV/atom
formation energy = -7.00 kcal/mol of atoms
SG = P-3m1 (164)

a b c (Å): 5.046 5.046 6.204
angles (deg): 90.00 90.00 120.00
Sites, in units of the cell vectors:
Tb  0.000  0.000  0.000
Tb  0.333  0.667  0.648
Tb  0.667  0.333  0.352
Ni  0.000  0.000  0.500
Ag  0.333  0.667  0.153
Ag  0.667  0.333  0.847



Record 12
The following is a PBE-GGA calculation of a geometry-optimized CsThOsO6 structure, from the Alexandria database.

Output
raw formation energy = -2.001 eV per atom
SG = Imma (74)

a b c (Å): 7.838 7.838 7.838
angles (deg): 122.64 117.00 90.38
Sites, in units of the cell vectors:
Cs  0.362  0.112  0.250
Cs  0.638  0.888  0.750
Th  0.000  0.500  0.500
Th  0.500  0.500  0.000
Os  0.000  0.000  0.500
Os  0.000  0.500  0.000
O  0.021  0.771  0.250
O  0.043  0.400  0.183
O  0.043  0.860  0.643
O  0.283  0.140  0.683
O  0.283  0.600  0.143
O  0.331  0.581  0.750
O  0.669  0.419  0.250
O  0.717  0.400  0.857
O  0.717  0.860  0.317
O  0.957  0.140  0.357
O  0.957  0.600  0.817
O  0.979  0.229  0.750



The records above give, respectively, calculated total energy values of -5.018 -5.996 -5.457 -6.244 -5.495 -4.205 -4.338 -2.719 -4.825 -5.606 -4.533 -7.474 eV/atom.